1.
{
  "formula": "Sr2BeCl",
  "functional": "GGA-PBEsol",
  "state": "optimized geometry",
  "e_above_lowest_polymorph_mev_per_atom": 0,
  "dft_energy_ev_per_atom": -2.9893,
  "formation_energy_uncorrected_ev_per_atom": -0.567,
  "m_tot_mub_per_atom": 0.12,
  "n_ef_per_ev_fu": 3.17,
  "cell": [[4.183, 0.000, 0.000], [2.092, 3.623, 0.000], [2.092, 1.208, 7.818]],
  "species": ["Cl", "Be", "Sr", "Sr"],
  "fractional_positions": [[0.500, 0.500, 0.500], [0.000, 0.000, 0.000], [0.254, 0.254, 0.239], [0.746, 0.746, 0.761]]
}


2.
{
  "formula": "TcGe2AsPb",
  "functional": "GGA-PBEsol",
  "state": "optimized geometry",
  "dft_energy_ev_per_atom": -4.2435,
  "ef_ev_per_fu": 9.0,
  "m_tot_mub_per_atom": 0.64,
  "n_ef_per_ev_fu": 4.29,
  "cell": [[-2.213, 1.379, 4.447], [4.186, -1.726, 2.618], [2.189, 4.735, -0.379]],
  "species": ["Ge", "Ge", "Pb", "Tc", "As"],
  "fractional_positions": [[0.000, 0.500, 0.000], [0.000, 0.000, 0.500], [0.000, 0.000, 0.000], [0.500, 0.000, 0.000], [0.500, 0.500, 0.500]]
}


3.
{
  "formula": "LaNi3H",
  "functional": "GGA-PBEsol",
  "state": "optimized geometry",
  "dft_energy_ev_per_atom": -5.5047,
  "m_tot_mub_per_atom": 0.00,
  "n_ef_per_ev_fu": 1.62,
  "cell": [[3.931, 0.000, 0.000], [0.000, 3.931, 0.000], [0.000, 0.000, 3.931]],
  "species": ["Ni", "Ni", "Ni", "La", "H"],
  "fractional_positions": [[0.000, 0.500, 0.000], [0.000, 0.000, 0.500], [0.500, 0.000, 0.000], [0.500, 0.500, 0.500], [0.000, 0.000, 0.000]]
}